Crystalline SrV2PF at its relaxed geometry. Source: Alexandria via LeMat-Bulk, functional PBE+U.

Results
Fermi-level density of states	0.41	states/eV per atom
M_tot	7.8	μB per formula unit
energy	-0.3678	Ry per atom

Cell: 4.6449 6.1685 4.6449 Å, 90.00 90.00 90.00°
With the nearest neighbours (Å) after each atom.
Fractional positions:
Sr: 0.0000 0.5000 0.0000  2 P 3.08, 4 F 3.28
F: 0.5000 0.5000 0.5000  4 Sr 3.28
P: 0.0000 0.0000 0.0000  4 V 2.32
V: 0.0000 0.0000 0.5000  2 P 2.32
V: 0.5000 0.0000 0.0000  2 P 2.32